(1)
The following is a GGA-PBE calculation of a relaxed SrCo2Ir2 crystal, from Alexandria.

Results
ΔE_f ... 88 meV per atom
Relative energy among the computed polymorphs ... 0.00 kcal/mol of atoms

Cell: 4.2743 4.2743 9.8887 Å, 90.00 90.00 90.00°
With the nearest neighbours (Å) after each atom.
Space group I4/mmm (No. 139)
Symmetry-distinct sites (fractional):
Sr 0.0000 0.0000 0.0000 [2 per cell]  8 Ir 3.27, 8 Co 3.27
Co 0.0000 0.5000 0.2500 [4 per cell]  4 Ir 2.47
Ir 0.0000 0.0000 0.3746 [4 per cell]  4 Co 2.47, 1 Ir 2.48

=====

(2)
The following is a GGA-PBE calculation of a relaxed Na3Ce4Se8 crystal, from Alexandria.

Cell: 11.8321 12.1250 8.4044 Å, 90.00 134.22 90.00°
With the nearest neighbours (Å) after each atom.
Space group C2/m (No. 12)
Symmetry-distinct sites (fractional):
Na 0.0000 0.0000 0.0000 [2 per cell]  6 Se 3.06-3.10
Na 0.2500 0.2500 0.0000 [4 per cell]  6 Se 2.96-3.04
Ce 0.0000 0.0000 0.5000 [2 per cell]  6 Se 2.85-2.96
Ce 0.0000 0.5000 0.0000 [2 per cell]  6 Se 2.86-2.97
Ce 0.2500 0.2500 0.5000 [4 per cell]  6 Se 2.96-3.03
Se 0.0000 0.2410 0.5000 [4 per cell]  3 Ce 2.92-2.96, 2 Na 3.01
Se 0.0000 0.2559 0.0000 [4 per cell]  3 Na 2.96-3.10, 3 Ce 2.96-3.01
Se 0.2454 0.0000 0.9724 [4 per cell]  2 Ce 2.85-2.86, 3 Na 3.04-3.07
Se 0.2465 0.5000 0.4926 [4 per cell]  4 Ce 2.96-3.03, 1 Na 3.06

=====

(3)
The following is a GGA-PBE calculation of a relaxed Dy2Er2TmMg crystal, from Alexandria.

Results
ΔE_f ... 476 meV per atom

Cell: 10.1015 11.6647 3.5979 Å, 90.00 90.00 90.00°
With the nearest neighbours (Å) after each atom.
Space group Pnnm (No. 58)
Symmetry-distinct sites (fractional):
Dy 0.0980 0.2215 0.0000 [4 per cell]  2 Tm 3.30, 2 Er 3.37, 1 Mg 3.40, 2 Dy 3.60
Er 0.2489 0.9267 0.0000 [4 per cell]  2 Tm 3.21, 2 Mg 3.23, 2 Dy 3.37
Tm 0.0000 0.0000 0.5000 [2 per cell]  4 Er 3.21, 4 Dy 3.30
Mg 0.0000 0.5000 0.0000 [2 per cell]  4 Er 3.23, 2 Dy 3.40, 2 Mg 3.60

=====

Number 1: total DFT energy (no corrections) -6.6352 eV per atom. Number 2: total DFT energy (no corrections) -5.2872 eV per atom. Number 3: total DFT energy (no corrections) -3.5899 eV per atom.